Entry 1:
DFT (PBE) results for LiSmPuAu after structural relaxation.

Output
ΔH_f (0 K) (kJ per mole of atoms): -14.8
Spin magnetization (μB/f.u.): 5.98
Calculated density (g/cm³): 10.1
VASP energy (eV per atom): -6.2135
Calculated volume (Å³/f.u.): 97.9
Space-group type: F-43m, No. 216

```
LiSmPuAu
1.0
0.0000 3.6581 3.6581
3.6581 0.0000 3.6581
3.6581 3.6581 0.0000
Li Sm Pu Au
1 1 1 1
Direct
0.0000 0.0000 0.0000
0.7500 0.7500 0.7500
0.2500 0.2500 0.2500
0.5000 0.5000 0.5000
```


Entry 2:
DFT (PBE) results for LiPu2SnAu6 after structural relaxation.

Output
ΔH_f (0 K) (kJ per mole of atoms): -27.3
Spin magnetization (μB/f.u.): 11.74
Calculated density (g/cm³): 13.7
VASP energy (eV per atom): -5.7076
Calculated volume (Å³/f.u.): 218.1
Space-group type: C2/m, No. 12

```
LiPu2SnAu6
1.0
6.1332 -2.7706 0.0000
6.1332 2.7706 0.0000
-5.0607 0.0000 6.4181
Li Pu Sn Au
1 2 1 6
Direct
0.0000 0.0000 0.0000
0.4915 0.4915 0.7354
0.5085 0.5085 0.2646
0.0000 0.0000 0.5000
0.0188 0.5140 0.8402
0.1751 0.1751 0.4018
0.4860 0.9812 0.1598
0.5140 0.0188 0.8402
0.8249 0.8249 0.5982
0.9812 0.4860 0.1598
```


Entry 3:
DFT (PBE) results for LiPuSn2Au4 after structural relaxation.

Output
ΔH_f (0 K) (kJ per mole of atoms): -37.6
Spin magnetization (μB/f.u.): 5.49
Calculated density (g/cm³): 12.7
VASP energy (eV per atom): -5.0595
Calculated volume (Å³/f.u.): 166.6
Space-group type: R-3m, No. 166

```
LiPuSn2Au4
1.0
2.3611 1.3632 8.6250
-2.3611 1.3632 8.6250
0.0000 -2.7264 8.6250
Li Pu Sn Au
1 1 2 4
Direct
0.0000 0.0000 0.0000
0.5000 0.5000 0.5000
0.2545 0.2545 0.2545
0.7455 0.7455 0.7455
0.1100 0.1100 0.1100
0.3641 0.3641 0.3641
0.6359 0.6359 0.6359
0.8900 0.8900 0.8900
```


Entry 4:
DFT (PBE) results for LiTb2PuAu4 after structural relaxation.

Output
ΔH_f (0 K) (kJ per mole of atoms): -62.3
Spin magnetization (μB/f.u.): 5.76
Calculated density (g/cm³): 12.6
VASP energy (eV per atom): -5.4731
Calculated volume (Å³/f.u.): 179.1
Space-group type: R-3m, No. 166

```
LiTb2PuAu4
1.0
2.5162 1.4527 8.1644
-2.5162 1.4527 8.1644
0.0000 -2.9055 8.1644
Li Tb Pu Au
1 2 1 4
Direct
0.0000 0.0000 0.0000
0.2549 0.2549 0.2549
0.7451 0.7451 0.7451
0.5000 0.5000 0.5000
0.1210 0.1210 0.1210
0.3762 0.3762 0.3762
0.6238 0.6238 0.6238
0.8790 0.8790 0.8790
```


Entry 5:
DFT (PBE) results for LiTbPuAu after structural relaxation.

Output
ΔH_f (0 K) (kJ per mole of atoms): -16.2
Spin magnetization (μB/f.u.): 5.93
Calculated density (g/cm³): 10.5
VASP energy (eV per atom): -6.2064
Calculated volume (Å³/f.u.): 95.6
Space-group type: F-43m, No. 216

```
LiTbPuAu
1.0
0.0000 3.6288 3.6288
3.6288 0.0000 3.6288
3.6288 3.6288 0.0000
Li Tb Pu Au
1 1 1 1
Direct
0.0000 0.0000 0.0000
0.2500 0.2500 0.2500
0.7500 0.7500 0.7500
0.5000 0.5000 0.5000
```


Entry 6:
DFT (PBE) results for Li2TbPuAu4 after structural relaxation.

Output
ΔH_f (0 K) (kJ per mole of atoms): -53.2
Spin magnetization (μB/f.u.): 5.84
Calculated density (g/cm³): 11.9
VASP energy (eV per atom): -5.0388
Calculated volume (Å³/f.u.): 168.0
Space-group type: R-3m, No. 166

```
Li2TbPuAu4
1.0
2.4580 1.4191 8.0289
-2.4580 1.4191 8.0289
0.0000 -2.8383 8.0289
Li Tb Pu Au
2 1 1 4
Direct
0.2501 0.2501 0.2501
0.7499 0.7499 0.7499
0.0000 0.0000 0.0000
0.5000 0.5000 0.5000
0.1231 0.1231 0.1231
0.3727 0.3727 0.3727
0.6273 0.6273 0.6273
0.8769 0.8769 0.8769
```


Entry 7:
DFT (PBE) results for LiPuTlAu after structural relaxation.

Output
ΔH_f (0 K) (kJ per mole of atoms): -18.2
Polymorph energy (0 for the lowest one) (meV per atom): 118
Spin magnetization (μB/f.u.): 5.65
Calculated density (g/cm³): 11.7
VASP energy (eV per atom): -5.6607
Calculated volume (Å³/f.u.): 92.5
Space-group type: F-43m, No. 216

```
LiPuTlAu
1.0
0.0000 3.5900 3.5900
3.5900 0.0000 3.5900
3.5900 3.5900 0.0000
Li Pu Tl Au
1 1 1 1
Direct
0.0000 0.0000 0.0000
0.5000 0.5000 0.5000
0.7500 0.7500 0.7500
0.2500 0.2500 0.2500
```


Entry 8:
DFT (PBE) results for LiPuTlAu after structural relaxation.

Output
ΔH_f (0 K) (kJ per mole of atoms): -29.6
Polymorph energy (0 for the lowest one) (meV per atom): 0
Spin magnetization (μB/f.u.): 5.69
Calculated density (g/cm³): 12.7
VASP energy (eV per atom): -5.7792
Calculated volume (Å³/f.u.): 85.3
Space-group type: P4mm, No. 99

```
LiPuTlAu
1.0
3.2963 0.0000 0.0000
0.0000 3.2963 0.0000
0.0000 0.0000 7.8460
Li Pu Tl Au
1 1 1 1
Direct
0.0000 0.0000 0.0000
0.0000 0.0000 0.5542
0.5000 0.5000 0.2365
0.5000 0.5000 0.8223
```